First-principles (PBE) data for a geometry-optimized BaMg2Si2 structure, as listed in Alexandria.

Lattice parameters (Å, degrees): 8.4339 8.4339 3.1737 90.00 90.00 90.00
With the nearest neighbours (Å) after each atom.
Space group P4/mbm (No. 127)
Inequivalent atoms, fractional coordinates:
Ba  0.0000  0.0000  0.0000  2 Ba 3.17, 4 Mg 3.34, 8 Si 3.53
Mg  0.1230  0.3770  0.0000  6 Si 2.92-2.99, 3 Mg 2.93-3.17
Si  0.1645  0.6645  0.5000  6 Mg 2.92-2.99, 2 Si 3.17

Calculated values
DFT total energy: -3.219 eV/atom

First-principles (PBE) data for a geometry-optimized YInRh3 structure, as listed in Alexandria.

Lattice parameters (Å, degrees): 4.9023 4.9023 4.9023 90.00 90.00 90.00
With the nearest neighbours (Å) after each atom.
Space group Pm-3m (No. 221)
Inequivalent atoms, fractional coordinates:
Y  0.0000  0.0000  0.0000  6 Rh 2.45
In  0.5000  0.5000  0.5000  12 Rh 3.47
Rh  0.0000  0.0000  0.5000  2 Y 2.45

Calculated values
Excess energy over the best structure of this formula in the dataset: 460.8 meV/atom
DFT total energy: -5.368 eV/atom
Energy of formation from the pure elements: 0.88 eV/atom

First-principles (PBE) data for a geometry-optimized NaAg2IrAu structure, as listed in Alexandria.

Lattice parameters (Å, degrees): 5.0693 5.0693 5.2716 90.00 90.00 90.00
With the nearest neighbours (Å) after each atom.
Space group P4/mmm (No. 123)
Inequivalent atoms, fractional coordinates:
Na  0.0000  0.0000  0.0000  2 Ir 2.64
Ag  0.0000  0.5000  0.5000  2 Ir 2.53
Ir  0.0000  0.0000  0.5000  4 Ag 2.53, 2 Na 2.64
Au  0.5000  0.5000  0.0000  4 Na 3.58, 8 Ag 3.66

Calculated values
DFT total energy: -2.758 eV/atom
Energy of formation from the pure elements: 1.07 eV/atom